Material: Rb2CrCl3F
Method: DFT, GGA+U
State: relaxed

Output
**Total DFT energy (no corrections)**: -4.3313 eV per atom

Unit cell a=4.1349 b=5.3569 c=9.0984 alpha=107.12 beta=103.13 gamma=90.00
Fractional coordinates of all 7 atoms:
Cl 0.8466 0.8466 0.6932
Cl 0.0000 0.5000 0.0000
Cl 0.1534 0.1534 0.3068
F 0.5000 0.0000 0.0000
Cr 0.0000 0.0000 0.0000
Rb 0.3522 0.3522 0.7043
Rb 0.6478 0.6478 0.2957